# LiMnAgRu2, relaxed, DFT PBE
data_LiMnAgRu2
_chemical_formula_sum 'Li1 Mn1 Ag1 Ru2'
_space_group_name_H-M_alt 'P 4/m m m'
_space_group_IT_number 123
_space_group_name_Hall '-P 4 2'
_cell_length_a 4.356
_cell_length_b 4.356
_cell_length_c 4.948
_cell_angle_alpha 90.00
_cell_angle_beta 90.00
_cell_angle_gamma 90.00
loop_
_atom_site_label
_atom_site_fract_x
_atom_site_fract_y
_atom_site_fract_z
_atom_site_occupancy
Li1 0.000 0.000 0.000 1
Mn1 0.500 0.500 0.500 1
Ag1 0.500 0.500 0.000 1
Ru1 0.000 0.500 0.500 1
# E_form = 1.014 eV/atom

---

# Li2MnAgTe, relaxed, DFT PBE
data_Li2MnAgTe
_chemical_formula_sum 'Li2 Mn1 Ag1 Te1'
_space_group_name_H-M_alt 'P 4/m m m'
_space_group_IT_number 123
_space_group_name_Hall '-P 4 2'
_cell_length_a 4.752
_cell_length_b 4.752
_cell_length_c 5.066
_cell_angle_alpha 90.00
_cell_angle_beta 90.00
_cell_angle_gamma 90.00
loop_
_atom_site_label
_atom_site_fract_x
_atom_site_fract_y
_atom_site_fract_z
_atom_site_occupancy
Li1 0.000 0.500 0.000 1
Mn1 0.000 0.000 0.500 1
Ag1 0.000 0.000 0.000 1
Te1 0.500 0.500 0.500 1
# formation energy without anion corrections = 0.146 eV per atom

---

# LiMnTl2Ag, relaxed, DFT PBE
data_LiMnTl2Ag
_chemical_formula_sum 'Li1 Mn1 Tl2 Ag1'
_space_group_name_H-M_alt 'P 4/m m m'
_space_group_IT_number 123
_space_group_name_Hall '-P 4 2'
_cell_length_a 5.398
_cell_length_b 5.398
_cell_length_c 4.726
_cell_angle_alpha 90.00
_cell_angle_beta 90.00
_cell_angle_gamma 90.00
loop_
_atom_site_label
_atom_site_fract_x
_atom_site_fract_y
_atom_site_fract_z
_atom_site_occupancy
Li1 0.000 0.000 0.000 1
Mn1 0.500 0.500 0.000 1
Tl1 0.000 0.500 0.500 1
Ag1 0.000 0.000 0.500 1
# E_form = 0.589 eV/atom

---

# LiAg2Mo, relaxed, DFT PBE
data_LiAg2Mo
_chemical_formula_sum 'Li1 Ag2 Mo1'
_space_group_name_H-M_alt 'P 4 m m'
_space_group_IT_number 99
_cell_length_a 2.739
_cell_length_b 2.739
_cell_length_c 8.667
_cell_angle_alpha 90.00
_cell_angle_beta 90.00
_cell_angle_gamma 90.00
loop_
_space_group_symop_operation_xyz
'x,y,z'
'-y,x,z'
'-x,-y,z'
'y,-x,z'
'-x,y,z'
'y,x,z'
'x,-y,z'
'-y,-x,z'
loop_
_atom_site_label
_atom_site_fract_x
_atom_site_fract_y
_atom_site_fract_z
_atom_site_occupancy
Li1 0.000 0.000 0.000 1
Ag1 0.000 0.000 0.505 1
Ag2 0.500 0.500 0.767 1
Mo1 0.500 0.500 0.248 1
# E_form = 0.271 eV/atom